Arrangement a

Here is a relaxed La2Tb6Pr3 crystal from Alexandria. Energies are from PBE.

Properties
Spin magnetization   0.00 μB/f.u.
Mass density   6.97 Mg/m³
Volume   394 Å³/f.u.
Space group   I4/mmm (139)
DOS at the Fermi energy   1.432 states/eV/atom

POSCAR file:
```
La2Tb6Pr3
1.0
-4.3402 2.1486 0.0886
-1.2933 -2.4486 -3.9741
-3.1423 -12.2833 11.5428
Tb La Pr
6 2 3
Direct
0.8789 0.3789 0.7578
0.1211 0.6211 0.2422
0.3789 0.8789 0.7578
0.6211 0.1211 0.2422
0.3076 0.3076 0.6151
0.6924 0.6924 0.3849
0.4540 0.4540 0.9080
0.5460 0.5460 0.0920
0.0000 0.0000 0.0000
0.7958 0.7958 0.5916
0.2042 0.2042 0.4084
```


Arrangement b

Here is a relaxed La2Tb6Pr3 crystal from Alexandria. Energies are from PBE.

Properties
Spin magnetization   0.00 μB/f.u.
Mass density   6.95 Mg/m³
Volume   395 Å³/f.u.
Space group   C2/m (12)
DOS at the Fermi energy   1.443 states/eV/atom

POSCAR file:
```
La2Tb6Pr3
1.0
0.8338 -2.6478 5.5892
-2.8736 -5.3828 1.3626
9.4289 -6.8310 -2.3043
Pr Tb La
3 6 2
Direct
0.3358 0.3285 0.0000
0.0000 0.0000 0.0000
0.6642 0.6715 0.0000
0.7494 0.0000 0.7511
0.9168 0.6669 0.2494
0.4163 0.6669 0.7506
0.2506 0.0000 0.2489
0.5837 0.3331 0.2494
0.0832 0.3331 0.7506
0.8331 0.3337 0.5000
0.1669 0.6663 0.5000
```


Which one sits at the top of the stability order? arrangement b does.


Arrangement a

Here is a relaxed La6TbPr2 crystal from Alexandria. Energies are from PBE.

Properties
Spin magnetization   0.00 μB/f.u.
Mass density   6.44 Mg/m³
Volume   328 Å³/f.u.
Space group   P-6m2 (187)
DOS at the Fermi energy   1.888 states/eV/atom

POSCAR file:
```
La6TbPr2
1.0
3.6940 0.0000 0.0000
-1.8470 3.1991 0.0000
0.0000 0.0000 27.7835
Pr La Tb
2 6 1
Direct
0.6667 0.3333 0.6699
0.6667 0.3333 0.3301
0.6667 0.3333 0.8946
0.6667 0.3333 0.1054
0.3333 0.6667 0.7822
0.3333 0.6667 0.2178
0.3333 0.6667 0.4385
0.3333 0.6667 0.5615
0.3333 0.6667 0.0000
```


Arrangement b

Here is a relaxed La6TbPr2 crystal from Alexandria. Energies are from PBE.

Properties
Spin magnetization   0.00 μB/f.u.
Mass density   6.50 Mg/m³
Volume   325 Å³/f.u.
Space group   Cmmm (65)
DOS at the Fermi energy   1.631 states/eV/atom

POSCAR file:
```
La6TbPr2
1.0
3.7042 -0.0004 0.0006
0.0005 9.3729 4.2904
-0.0014 1.7319 10.1617
La Pr Tb
6 2 1
Direct
0.5000 0.3207 0.6793
0.0000 0.8352 0.4922
0.0000 0.1648 0.5078
0.0000 0.5078 0.1648
0.5000 0.6793 0.3207
0.0000 0.4922 0.8352
0.5000 0.8265 0.8265
0.5000 0.1735 0.1735
0.0000 0.0000 0.0000
```


Which one sits at the top of the stability order? arrangement a does.


Arrangement a

Here is a relaxed La2Tb5Pr4 crystal from Alexandria. Energies are from PBE.

Properties
Spin magnetization   0.00 μB/f.u.
Mass density   7.04 Mg/m³
Volume   386 Å³/f.u.
Space group   C2/m (12)
DOS at the Fermi energy   1.609 states/eV/atom

POSCAR file:
```
La2Tb5Pr4
1.0
7.5641 0.0000 0.0000
3.7820 5.5883 0.8488
3.7820 1.4427 9.3431
Tb Pr La
5 4 2
Direct
0.2169 0.3591 0.7741
0.0000 0.5000 0.5000
0.3502 0.6409 0.2259
0.7831 0.6409 0.2259
0.6498 0.3591 0.7741
0.6860 0.1245 0.5035
0.3140 0.8755 0.4965
0.6776 0.7693 0.8755
0.3224 0.2307 0.1245
0.1416 0.8463 0.8705
0.8584 0.1537 0.1295
```


Arrangement b

Here is a relaxed La2Tb5Pr4 crystal from Alexandria. Energies are from PBE.

Properties
Spin magnetization   0.00 μB/f.u.
Mass density   7.10 Mg/m³
Volume   382 Å³/f.u.
Space group   C2/m (12)
DOS at the Fermi energy   1.855 states/eV/atom

POSCAR file:
```
La2Tb5Pr4
1.0
5.7498 0.0000 -1.4026
-0.2436 6.4145 -0.9986
-0.5737 2.2608 10.1347
Tb La Pr
5 2 4
Direct
0.1328 0.1297 0.2655
0.8672 0.8703 0.7345
0.7867 0.3951 0.5734
0.5000 0.0000 0.0000
0.2133 0.6049 0.4266
0.4027 0.5445 0.8054
0.5973 0.4555 0.1946
0.6951 0.9249 0.3902
0.0319 0.7357 0.0638
0.9681 0.2643 0.9362
0.3049 0.0751 0.6098
```


Which one sits at the top of the stability order? arrangement b does.


Arrangement a

Here is a relaxed La3TbPr4 crystal from Alexandria. Energies are from PBE.

Properties
Spin magnetization   0.00 μB/f.u.
Mass density   6.59 Mg/m³
Volume   287 Å³/f.u.
Space group   Pmn2_1 (31)
DOS at the Fermi energy   1.540 states/eV/atom

POSCAR file:
```
La3TbPr4
1.0
7.4004 0.0000 0.0000
0.0000 7.3827 0.0000
0.0000 0.0000 10.5036
Pr La Tb
8 6 2
Direct
0.5645 0.5000 0.2501
0.0645 0.5000 0.2499
0.8152 0.7496 0.5000
0.0645 0.5000 0.7501
0.3139 0.7492 0.0000
0.5645 0.5000 0.7499
0.3152 0.2504 0.0000
0.8139 0.2508 0.5000
0.5644 0.0001 0.2501
0.5644 0.0001 0.7499
0.3135 0.2510 0.5000
0.0644 0.9999 0.7501
0.0644 0.9999 0.2499
0.8135 0.7490 0.0000
0.8149 0.2509 0.0000
0.3149 0.7491 0.5000
```


Arrangement b

Here is a relaxed La3TbPr4 crystal from Alexandria. Energies are from PBE.

Properties
Spin magnetization   0.00 μB/f.u.
Mass density   6.48 Mg/m³
Volume   292 Å³/f.u.
Space group   C2/m (12)
DOS at the Fermi energy   1.547 states/eV/atom

POSCAR file:
```
La3TbPr4
1.0
-2.0255 2.7698 -0.9172
-1.4998 -2.8972 -5.4368
-8.9159 -6.4146 7.1959
Pr La Tb
4 3 1
Direct
0.2785 0.7588 0.5569
0.7215 0.2412 0.4431
0.8944 0.7673 0.7888
0.1056 0.2327 0.2112
0.8554 0.2554 0.7109
0.0000 0.5000 0.0000
0.1446 0.7446 0.2891
0.5000 0.0000 0.0000
```


Which one sits at the top of the stability order? arrangement a does.


Arrangement a

Here is a relaxed La8Tb2Pr3 crystal from Alexandria. Energies are from PBE.

Properties
Spin magnetization   0.00 μB/f.u.
Mass density   6.53 Mg/m³
Volume   471 Å³/f.u.
Space group   C2/m (12)
DOS at the Fermi energy   1.681 states/eV/atom

POSCAR file:
```
La8Tb2Pr3
1.0
-0.7784 1.3379 6.0855
-8.8653 1.3208 1.3011
-1.7116 -7.8253 4.2268
La Tb Pr
8 2 3
Direct
0.6737 0.0858 0.5636
0.3263 0.9142 0.4364
0.6737 0.5636 0.0858
0.0574 0.8558 0.8558
0.7932 0.4492 0.4492
0.2068 0.5508 0.5508
0.3263 0.4364 0.9142
0.9426 0.1442 0.1442
0.3327 0.2874 0.2874
0.6673 0.7126 0.7126
0.0000 0.2459 0.7541
0.5000 0.0000 0.0000
0.0000 0.7541 0.2459
```


Arrangement b

Here is a relaxed La8Tb2Pr3 crystal from Alexandria. Energies are from PBE.

Properties
Spin magnetization   0.00 μB/f.u.
Mass density   6.40 Mg/m³
Volume   480 Å³/f.u.
Space group   C2/m (12)
DOS at the Fermi energy   1.546 states/eV/atom

POSCAR file:
```
La8Tb2Pr3
1.0
5.9194 0.0000 0.6163
0.0000 7.7596 0.0000
-1.0845 -3.8798 10.3416
Pr La Tb
3 8 2
Direct
0.5000 0.0000 0.0000
0.0000 0.2825 0.0000
0.0000 0.7175 0.0000
0.0009 0.6758 0.3515
0.0008 0.8634 0.7268
0.9991 0.3242 0.6485
0.5001 0.8112 0.2132
0.4999 0.1888 0.7868
0.9992 0.1366 0.2732
0.4999 0.5980 0.7868
0.5001 0.4020 0.2132
0.5013 0.7578 0.5155
0.4987 0.2422 0.4845
```


Which one sits at the top of the stability order? arrangement a does.


Arrangement a

Here is a relaxed La4TbPr3 crystal from Alexandria. Energies are from PBE.

Properties
Spin magnetization   0.00 μB/f.u.
Mass density   6.49 Mg/m³
Volume   291 Å³/f.u.
Space group   C2/m (12)
DOS at the Fermi energy   1.569 states/eV/atom

POSCAR file:
```
La4TbPr3
1.0
-2.3114 0.1887 2.6951
-4.2011 -3.3277 -3.3700
6.5387 -10.5913 4.0042
Pr La Tb
3 4 1
Direct
0.1442 0.7410 0.2884
0.0000 0.5000 0.0000
0.8558 0.2590 0.7116
0.2798 0.7566 0.5597
0.8947 0.7706 0.7895
0.1053 0.2294 0.2105
0.7202 0.2434 0.4403
0.5000 0.0000 0.0000
```


Arrangement b

Here is a relaxed La4TbPr3 crystal from Alexandria. Energies are from PBE.

Properties
Spin magnetization   0.00 μB/f.u.
Mass density   6.50 Mg/m³
Volume   291 Å³/f.u.
Space group   Cmmm (65)
DOS at the Fermi energy   2.408 states/eV/atom

POSCAR file:
```
La4TbPr3
1.0
-1.2068 3.2706 -0.3083
-2.1057 0.0631 8.9121
8.5444 3.2190 0.7029
Pr Tb La
3 1 4
Direct
0.0000 0.0000 0.5000
0.0000 0.5000 0.0000
0.5000 0.5000 0.5000
0.5000 0.0000 0.0000
0.5000 0.2448 0.7552
0.0000 0.2476 0.2476
0.5000 0.7552 0.2448
0.0000 0.7524 0.7524
```


Which one sits at the top of the stability order? arrangement a does.